i) Density functional theory data (PBE) for a relaxed structure of TlSbIN2.

```
5
Lattice="4.3182 0.0000 0.0000 0.0000 4.3182 0.0000 0.0000 0.0000 6.6702" Properties=species:S:1:pos:R:3 pbc="T T T"
Tl 0.0000 0.0000 0.0000
Sb 2.1591 2.1591 3.3351
I 2.1591 2.1591 0.0000
N 0.0000 2.1591 3.3351
N 2.1591 0.0000 3.3351
```

---

ii) Density functional theory data (PBE) for a relaxed structure of TlSbIN2.

```
5
Lattice="4.5668 0.0000 0.0000 0.0000 4.5668 0.0000 0.0000 0.0000 6.4458" Properties=species:S:1:pos:R:3 pbc="T T T"
Tl 0.0000 0.0000 0.0000
Sb 2.2834 2.2834 3.2229
I 0.0000 0.0000 3.2229
N 0.0000 2.2834 0.0000
N 2.2834 0.0000 0.0000
```

---

Verdict on stability: i) comes out on top.

---

i) Density functional theory data (PBE) for a relaxed structure of TlSb2IN.

```
5
Lattice="4.8510 0.0000 0.0000 0.0000 4.8510 0.0000 0.0000 0.0000 5.3971" Properties=species:S:1:pos:R:3 pbc="T T T"
Tl 0.0000 0.0000 0.0000
Sb 0.0000 2.4255 2.6986
Sb 2.4255 0.0000 2.6986
I 2.4255 2.4255 0.0000
N 2.4255 2.4255 2.6986
```

---

ii) Density functional theory data (PBE) for a relaxed structure of TlSb2IN.

```
5
Lattice="5.7684 0.0000 0.0000 0.0000 5.7684 0.0000 0.0000 0.0000 5.8743" Properties=species:S:1:pos:R:3 pbc="T T T"
Tl 0.0000 0.0000 0.0000
Sb 0.0000 2.8842 0.0000
Sb 2.8842 0.0000 0.0000
I 0.0000 0.0000 2.9371
N 2.8842 2.8842 2.9371
```

---

Verdict on stability: i) comes out on top.